Model A:
Compound: Sm2Hg3Pd4
Source: the Alexandria database
Functional: PBE
Structure: relaxed

a b c (Å): 5.842 7.472 9.253
angles (deg): 90.00 108.40 90.00
Positions (direct):
Hg1 0.988 0.250 0.475
Pd1 0.174 0.750 0.848
Hg2 0.488 0.250 0.475
Pd2 0.842 0.029 0.683
Hg3 0.500 0.500 0.000
Pd3 0.674 0.750 0.848
Pd4 0.342 0.471 0.683
Pd5 0.826 0.250 0.152
Sm1 0.106 0.584 0.213
Pd6 0.658 0.529 0.317
Sm2 0.894 0.416 0.787
Sm3 0.394 0.084 0.787
Pd7 0.326 0.250 0.152
Pd8 0.158 0.971 0.317
Hg4 0.012 0.750 0.525
Hg5 0.512 0.750 0.525
Sm4 0.606 0.916 0.213
Hg6 0.000 0.000 0.000

Values from the calculation:
Total magnetization: 0.0 Bohr magnetons per cell
Crystal system: orthorhombic
Space-group type: Cmce, No. 64

Model B:
Compound: Sm2Hg3Pd4
Source: the Alexandria database
Functional: PBE
Structure: relaxed

a b c (Å): 4.556 5.037 9.090
angles (deg): 81.05 89.91 63.12
Positions (direct):
Pd1 0.993 0.017 0.661
Hg1 0.000 0.000 0.000
Pd2 0.332 0.335 0.102
Pd3 0.668 0.665 0.898
Sm1 0.331 0.339 0.779
Pd4 0.007 0.983 0.339
Hg2 0.339 0.319 0.425
Hg3 0.661 0.681 0.575
Sm2 0.669 0.661 0.221

Values from the calculation:
Total magnetization: 0.0 Bohr magnetons per cell
Crystal system: triclinic
Space-group type: P-1, No. 2

It comes down to model B, which is 0.032 eV/atom more stable than the next structure.

Model A:
Compound: SmTmHgPd
Source: the Alexandria database
Functional: PBE
Structure: relaxed

a b c (Å): 5.135 5.135 5.135
angles (deg): 60.00 60.00 60.00
Positions (direct):
Hg1 0.000 0.000 0.000
Sm1 0.750 0.750 0.750
Pd1 0.500 0.500 0.500
Tm1 0.250 0.250 0.250

Values from the calculation:
Total magnetization: 0.0 Bohr magnetons per cell
Crystal system: cubic
Space-group type: F-43m, No. 216

Model B:
Compound: SmTmHgPd
Source: the Alexandria database
Functional: PBE
Structure: relaxed

a b c (Å): 3.540 3.540 7.616
angles (deg): 90.00 90.00 90.00
Positions (direct):
Sm1 0.500 0.500 0.127
Hg1 0.000 0.000 0.840
Tm1 0.500 0.500 0.581
Pd1 0.000 0.000 0.379

Values from the calculation:
Total magnetization: 0.0 Bohr magnetons per cell
Crystal system: tetragonal
Space-group type: P4mm, No. 99

It comes down to model B, which is 0.050 eV/atom more stable than the next structure.